Pm5TmP6 | PBE | relaxed

M_tot   0.0 μB/cell
Final energy   -79.4 eV per formula unit

abc: 7.1062 7.1076 7.1066
angles: 60.00 80.40 70.51
Sites, in units of the cell vectors:
P 0.7540 0.0819 0.3275
P 0.2460 0.5906 0.3275
P 0.2468 0.2450 0.0000
P 0.7532 0.7550 0.0000
P 0.7540 0.4094 0.6725
P 0.2460 0.9181 0.6725
Tm 0.0000 0.0000 0.0000
Pm 0.5000 0.1676 0.6647
Pm 0.0000 0.3337 0.3326
Pm 0.5000 0.5000 0.0000
Pm 0.0000 0.6663 0.6674
Pm 0.5000 0.8324 0.3353